(1)
A plane-wave DFT calculation with GGA-PBE was carried out for a geometry-optimized Cr2Ni2Ag structure.

Computed properties:
Total moment ... 0.01 μB/f.u.
Offset from the most stable computed form ... 13 meV per atom

The structure in CIF format:
```
data_Cr2Ni2Ag
_chemical_formula_sum 'Cr4 Ni4 Ag2'
_cell_length_a 7.040
_cell_length_b 7.040
_cell_length_c 2.557
_cell_angle_alpha 90.00
_cell_angle_beta 90.00
_cell_angle_gamma 90.00
_space_group_name_H-M_alt 'P 4/m b m'
_space_group_IT_number 127
_space_group_name_Hall '-P 4 2ab'
loop_
_atom_site_label
_atom_site_type_symbol
_atom_site_fract_x
_atom_site_fract_y
_atom_site_fract_z
Cr1 Cr 0.170 0.330 0.000
Ni1 Ni 0.123 0.623 0.500
Ag1 Ag 0.000 0.000 0.500
```


(2)
A plane-wave DFT calculation with GGA-PBE was carried out for a geometry-optimized CrNiAg2 structure.

Computed properties:
Total moment ... 4.15 μB/f.u.
Offset from the most stable computed form ... 125 meV per atom

The structure in CIF format:
```
data_CrNiAg2
_chemical_formula_sum 'Cr4 Ni4 Ag8'
_cell_length_a 6.300
_cell_length_b 6.300
_cell_length_c 6.300
_cell_angle_alpha 90.00
_cell_angle_beta 90.00
_cell_angle_gamma 90.00
_space_group_name_H-M_alt 'F -4 3 m'
_space_group_IT_number 216
_space_group_name_Hall 'F -4 2 3'
loop_
_atom_site_label
_atom_site_type_symbol
_atom_site_fract_x
_atom_site_fract_y
_atom_site_fract_z
Cr1 Cr 0.000 0.000 0.000
Ni1 Ni 0.250 0.250 0.250
Ag1 Ag 0.000 0.000 0.500
Ag2 Ag 0.250 0.250 0.750
```


(3)
A plane-wave DFT calculation with GGA-PBE was carried out for a geometry-optimized CrNi2Ag structure.

Computed properties:
Total moment ... 2.89 μB/f.u.
Offset from the most stable computed form ... 0 meV per atom

The structure in CIF format:
```
data_CrNi2Ag
_chemical_formula_sum 'Cr1 Ni2 Ag1'
_cell_length_a 2.917
_cell_length_b 2.987
_cell_length_c 6.036
_cell_angle_alpha 90.00
_cell_angle_beta 90.07
_cell_angle_gamma 90.00
_space_group_name_H-M_alt 'P 1 2/m 1'
_space_group_IT_number 10
loop_
_space_group_symop_operation_xyz
'x,y,z'
'-x,-y,-z'
'-x,y,-z'
'x,-y,z'
loop_
_atom_site_label
_atom_site_type_symbol
_atom_site_fract_x
_atom_site_fract_y
_atom_site_fract_z
Cr1 Cr 0.000 0.000 0.000
Ni1 Ni 0.500 0.500 0.213
Ag1 Ag 0.000 0.000 0.500
```


(4)
A plane-wave DFT calculation with GGA-PBE was carried out for a geometry-optimized CrNi2Ag structure.

Computed properties:
Total moment ... 0.00 μB/f.u.
Offset from the most stable computed form ... 127 meV per atom

The structure in CIF format:
```
data_CrNi2Ag
_chemical_formula_sum 'Cr3 Ni6 Ag3'
_cell_length_a 2.6130
_cell_length_b 2.6130
_cell_length_c 26.0417
_cell_angle_alpha 90.00
_cell_angle_beta 90.00
_cell_angle_gamma 120.00
_space_group_name_H-M_alt 'R 3 m'
_space_group_IT_number 160
_space_group_name_Hall 'R 3 -2"'
loop_
_atom_site_label
_atom_site_type_symbol
_atom_site_fract_x
_atom_site_fract_y
_atom_site_fract_z
Cr1 Cr 0.0000 0.0000 0.0000
Ni1 Ni 0.0000 0.0000 0.4847
Ni2 Ni 0.0000 0.0000 0.7407
Ag1 Ag 0.0000 0.0000 0.2396
```


(5)
A plane-wave DFT calculation with GGA-PBE was carried out for a geometry-optimized CrNi2Ag structure.

Computed properties:
Total moment ... 2.85 μB/f.u.
Offset from the most stable computed form ... 128 meV per atom

The structure in CIF format:
```
data_CrNi2Ag
_chemical_formula_sum 'Cr2 Ni4 Ag2'
_cell_length_a 8.832
_cell_length_b 2.748
_cell_length_c 4.504
_cell_angle_alpha 90.00
_cell_angle_beta 103.79
_cell_angle_gamma 90.00
_space_group_name_H-M_alt 'C 1 m 1'
_space_group_IT_number 8
loop_
_space_group_symop_operation_xyz
'x,y,z'
'x,-y,z'
'x+1/2,y+1/2,z'
'x+1/2,-y+1/2,z'
loop_
_atom_site_label
_atom_site_type_symbol
_atom_site_fract_x
_atom_site_fract_y
_atom_site_fract_z
Cr1 Cr 0.000 0.000 0.000
Ni1 Ni 0.239 0.500 0.194
Ni2 Ni 0.475 0.000 0.444
Ag1 Ag 0.233 0.000 0.689
```


(6)
A plane-wave DFT calculation with GGA-PBE was carried out for a geometry-optimized CrNiAg structure.

Computed properties:
Total moment ... 3.01 μB/f.u.
Offset from the most stable computed form ... 0 meV per atom

The structure in CIF format:
```
data_CrNiAg
_chemical_formula_sum 'Cr2 Ni2 Ag2'
_cell_length_a 2.889
_cell_length_b 2.889
_cell_length_c 10.263
_cell_angle_alpha 90.00
_cell_angle_beta 90.00
_cell_angle_gamma 90.00
_space_group_name_H-M_alt 'I 4 m m'
_space_group_IT_number 107
_space_group_name_Hall 'I 4 -2'
loop_
_atom_site_label
_atom_site_type_symbol
_atom_site_fract_x
_atom_site_fract_y
_atom_site_fract_z
Cr1 Cr 0.000 0.000 0.000
Ni1 Ni 0.000 0.000 0.627
Ag1 Ag 0.000 0.000 0.307
```


(7)
A plane-wave DFT calculation with GGA-PBE was carried out for a geometry-optimized CrNiAg2 structure.

Computed properties:
Total moment ... 4.03 μB/f.u.
Offset from the most stable computed form ... 161 meV per atom

The structure in CIF format:
```
data_CrNiAg2
_chemical_formula_sum 'Cr1 Ni1 Ag2'
_cell_length_a 2.797
_cell_length_b 4.636
_cell_length_c 4.895
_cell_angle_alpha 90.00
_cell_angle_beta 94.87
_cell_angle_gamma 90.00
_space_group_name_H-M_alt 'P 1 2/m 1'
_space_group_IT_number 10
loop_
_space_group_symop_operation_xyz
'x,y,z'
'-x,-y,-z'
'-x,y,-z'
'x,-y,z'
loop_
_atom_site_label
_atom_site_type_symbol
_atom_site_fract_x
_atom_site_fract_y
_atom_site_fract_z
Cr1 Cr 0.000 0.000 0.000
Ni1 Ni 0.500 0.000 0.500
Ag1 Ag 0.270 0.500 0.745
```


(8)
A plane-wave DFT calculation with GGA-PBE was carried out for a geometry-optimized CrNiAg2 structure.

Computed properties:
Total moment ... 0.53 μB/f.u.
Offset from the most stable computed form ... 274 meV per atom

The structure in CIF format:
```
data_CrNiAg2
_chemical_formula_sum 'Cr1 Ni1 Ag2'
_cell_length_a 2.670
_cell_length_b 2.670
_cell_length_c 8.144
_cell_angle_alpha 90.00
_cell_angle_beta 90.00
_cell_angle_gamma 90.00
_space_group_name_H-M_alt 'P 4/m m m'
_space_group_IT_number 123
_space_group_name_Hall '-P 4 2'
loop_
_atom_site_label
_atom_site_type_symbol
_atom_site_fract_x
_atom_site_fract_y
_atom_site_fract_z
Cr1 Cr 0.000 0.000 0.000
Ni1 Ni 0.000 0.000 0.500
Ag1 Ag 0.500 0.500 0.258
```


(9)
A plane-wave DFT calculation with GGA-PBE was carried out for a geometry-optimized CrNiAg2 structure.

Computed properties:
Total moment ... 4.02 μB/f.u.
Offset from the most stable computed form ... 112 meV per atom

The structure in CIF format:
```
data_CrNiAg2
_chemical_formula_sum 'Cr2 Ni2 Ag4'
_cell_length_a 9.468
_cell_length_b 2.910
_cell_length_c 4.680
_cell_angle_alpha 90.00
_cell_angle_beta 103.82
_cell_angle_gamma 90.00
_space_group_name_H-M_alt 'C 1 2/m 1'
_space_group_IT_number 12
loop_
_space_group_symop_operation_xyz
'x,y,z'
'-x,-y,-z'
'-x,y,-z'
'x,-y,z'
'x+1/2,y+1/2,z'
'-x+1/2,-y+1/2,-z'
'-x+1/2,y+1/2,-z'
'x+1/2,-y+1/2,z'
loop_
_atom_site_label
_atom_site_type_symbol
_atom_site_fract_x
_atom_site_fract_y
_atom_site_fract_z
Cr1 Cr 0.000 0.000 0.000
Ni1 Ni 0.000 0.500 0.500
Ag1 Ag 0.241 0.000 0.743
```


(10)
A plane-wave DFT calculation with GGA-PBE was carried out for a geometry-optimized CrNiAg2 structure.

Computed properties:
Total moment ... 4.47 μB/f.u.
Offset from the most stable computed form ... 405 meV per atom

The structure in CIF format:
```
data_CrNiAg2
_chemical_formula_sum 'Cr4 Ni4 Ag8'
_cell_length_a 7.221
_cell_length_b 7.221
_cell_length_c 5.316
_cell_angle_alpha 90.00
_cell_angle_beta 90.00
_cell_angle_gamma 90.00
_space_group_name_H-M_alt 'I -4 2 d'
_space_group_IT_number 122
_space_group_name_Hall 'I -4 2bw'
loop_
_atom_site_label
_atom_site_type_symbol
_atom_site_fract_x
_atom_site_fract_y
_atom_site_fract_z
Cr1 Cr 0.000 0.000 0.000
Ni1 Ni 0.000 0.000 0.500
Ag1 Ag 0.226 0.250 0.625
```


(11)
A plane-wave DFT calculation with GGA-PBE was carried out for a geometry-optimized CrNiAg2 structure.

Computed properties:
Total moment ... 3.15 μB/f.u.
Offset from the most stable computed form ... 0 meV per atom

The structure in CIF format:
```
data_CrNiAg2
_chemical_formula_sum 'Cr1 Ni1 Ag2'
_cell_length_a 2.908
_cell_length_b 2.991
_cell_length_c 7.041
_cell_angle_alpha 90.00
_cell_angle_beta 90.08
_cell_angle_gamma 90.00
_space_group_name_H-M_alt 'P 1 m 1'
_space_group_IT_number 6
loop_
_space_group_symop_operation_xyz
'x,y,z'
'x,-y,z'
loop_
_atom_site_label
_atom_site_type_symbol
_atom_site_fract_x
_atom_site_fract_y
_atom_site_fract_z
Cr1 Cr 0.000 0.000 0.000
Ni1 Ni 0.500 0.500 0.823
Ag1 Ag 0.000 0.000 0.568
Ag2 Ag 0.500 0.500 0.274
```


(12)
A plane-wave DFT calculation with GGA-PBE was carried out for a geometry-optimized CrNiAg2 structure.

Computed properties:
Total moment ... 3.79 μB/f.u.
Offset from the most stable computed form ... 225 meV per atom

The structure in CIF format:
```
data_CrNiAg2
_chemical_formula_sum 'Cr3 Ni3 Ag6'
_cell_length_a 2.8230
_cell_length_b 2.8230
_cell_length_c 27.0791
_cell_angle_alpha 90.00
_cell_angle_beta 90.00
_cell_angle_gamma 120.00
_space_group_name_H-M_alt 'R -3 m'
_space_group_IT_number 166
_space_group_name_Hall '-R 3 2"'
loop_
_atom_site_label
_atom_site_type_symbol
_atom_site_fract_x
_atom_site_fract_y
_atom_site_fract_z
Cr1 Cr 0.0000 0.0000 0.0000
Ni1 Ni 0.0000 0.0000 0.5000
Ag1 Ag 0.0000 0.0000 0.2469
```


(13)
A plane-wave DFT calculation with GGA-PBE was carried out for a geometry-optimized CrNi2Ag structure.

Computed properties:
Total moment ... 1.31 μB/f.u.
Offset from the most stable computed form ... 156 meV per atom

The structure in CIF format:
```
data_CrNi2Ag
_chemical_formula_sum 'Cr2 Ni4 Ag2'
_cell_length_a 8.329
_cell_length_b 2.607
_cell_length_c 4.846
_cell_angle_alpha 90.00
_cell_angle_beta 98.97
_cell_angle_gamma 90.00
_space_group_name_H-M_alt 'C 1 2/m 1'
_space_group_IT_number 12
loop_
_space_group_symop_operation_xyz
'x,y,z'
'-x,-y,-z'
'-x,y,-z'
'x,-y,z'
'x+1/2,y+1/2,z'
'-x+1/2,-y+1/2,-z'
'-x+1/2,y+1/2,-z'
'x+1/2,-y+1/2,z'
loop_
_atom_site_label
_atom_site_type_symbol
_atom_site_fract_x
_atom_site_fract_y
_atom_site_fract_z
Cr1 Cr 0.000 0.000 0.000
Ni1 Ni 0.244 0.500 0.216
Ag1 Ag 0.000 0.500 0.500
```


(14)
A plane-wave DFT calculation with GGA-PBE was carried out for a geometry-optimized CrNi2Ag structure.

Computed properties:
Total moment ... 2.80 μB/f.u.
Offset from the most stable computed form ... 112 meV per atom

The structure in CIF format:
```
data_CrNi2Ag
_chemical_formula_sum 'Cr1 Ni2 Ag1'
_cell_length_a 2.770
_cell_length_b 3.494
_cell_length_c 5.490
_cell_angle_alpha 90.00
_cell_angle_beta 90.00
_cell_angle_gamma 90.00
_space_group_name_H-M_alt 'P m m 2'
_space_group_IT_number 25
loop_
_space_group_symop_operation_xyz
'x,y,z'
'-x,-y,z'
'-x,y,z'
'x,-y,z'
loop_
_atom_site_label
_atom_site_type_symbol
_atom_site_fract_x
_atom_site_fract_y
_atom_site_fract_z
Cr1 Cr 0.000 0.000 0.000
Ni1 Ni 0.000 0.000 0.430
Ni2 Ni 0.500 0.500 0.204
Ag1 Ag 0.500 0.500 0.700
```


(15)
A plane-wave DFT calculation with GGA-PBE was carried out for a geometry-optimized CrNiAg2 structure.

Computed properties:
Total moment ... 4.25 μB/f.u.
Offset from the most stable computed form ... 75 meV per atom

The structure in CIF format:
```
data_CrNiAg2
_chemical_formula_sum 'Cr1 Ni1 Ag2'
_cell_length_a 3.912
_cell_length_b 3.912
_cell_length_c 4.041
_cell_angle_alpha 90.00
_cell_angle_beta 90.00
_cell_angle_gamma 90.00
_space_group_name_H-M_alt 'P 4/m m m'
_space_group_IT_number 123
_space_group_name_Hall '-P 4 2'
loop_
_atom_site_label
_atom_site_type_symbol
_atom_site_fract_x
_atom_site_fract_y
_atom_site_fract_z
Cr1 Cr 0.000 0.000 0.000
Ni1 Ni 0.500 0.500 0.000
Ag1 Ag 0.000 0.500 0.500
```


(16)
A plane-wave DFT calculation with GGA-PBE was carried out for a geometry-optimized CrNiAg3 structure.

Computed properties:
Total moment ... 4.87 μB/f.u.
Offset from the most stable computed form ... 0 meV per atom

The structure in CIF format:
```
data_CrNiAg3
_chemical_formula_sum 'Cr1 Ni1 Ag3'
_cell_length_a 4.753
_cell_length_b 4.753
_cell_length_c 4.753
_cell_angle_alpha 90.00
_cell_angle_beta 90.00
_cell_angle_gamma 90.00
_space_group_name_H-M_alt 'P m -3 m'
_space_group_IT_number 221
_space_group_name_Hall '-P 4 2 3'
loop_
_atom_site_label
_atom_site_type_symbol
_atom_site_fract_x
_atom_site_fract_y
_atom_site_fract_z
Cr1 Cr 0.000 0.000 0.000
Ni1 Ni 0.500 0.500 0.500
Ag1 Ag 0.000 0.500 0.500
```


(17)
A plane-wave DFT calculation with GGA-PBE was carried out for a geometry-optimized CrNiAg2 structure.

Computed properties:
Total moment ... 3.85 μB/f.u.
Offset from the most stable computed form ... 103 meV per atom

The structure in CIF format:
```
data_CrNiAg2
_chemical_formula_sum 'Cr2 Ni2 Ag4'
_cell_length_a 9.319
_cell_length_b 2.897
_cell_length_c 4.778
_cell_angle_alpha 90.00
_cell_angle_beta 105.70
_cell_angle_gamma 90.00
_space_group_name_H-M_alt 'C 1 m 1'
_space_group_IT_number 8
loop_
_space_group_symop_operation_xyz
'x,y,z'
'x,-y,z'
'x+1/2,y+1/2,z'
'x+1/2,-y+1/2,z'
loop_
_atom_site_label
_atom_site_type_symbol
_atom_site_fract_x
_atom_site_fract_y
_atom_site_fract_z
Cr1 Cr 0.000 0.000 0.000
Ni1 Ni 0.280 0.000 0.782
Ag1 Ag 0.030 0.500 0.531
Ag2 Ag 0.264 0.500 0.265
```


(18)
A plane-wave DFT calculation with GGA-PBE was carried out for a geometry-optimized CrNiAg2 structure.

Computed properties:
Total moment ... 3.06 μB/f.u.
Offset from the most stable computed form ... 74 meV per atom

The structure in CIF format:
```
data_CrNiAg2
_chemical_formula_sum 'Cr3 Ni3 Ag6'
_cell_length_a 2.8242
_cell_length_b 2.8242
_cell_length_c 26.6090
_cell_angle_alpha 90.00
_cell_angle_beta 90.00
_cell_angle_gamma 120.00
_space_group_name_H-M_alt 'R 3 m'
_space_group_IT_number 160
_space_group_name_Hall 'R 3 -2"'
loop_
_atom_site_label
_atom_site_type_symbol
_atom_site_fract_x
_atom_site_fract_y
_atom_site_fract_z
Cr1 Cr 0.0000 0.0000 0.0000
Ni1 Ni 0.0000 0.0000 0.2655
Ag1 Ag 0.0000 0.0000 0.5147
Ag2 Ag 0.0000 0.0000 0.7540
```


(19)
A plane-wave DFT calculation with GGA-PBE was carried out for a geometry-optimized CrNi2Ag structure.

Computed properties:
Total moment ... 3.69 μB/f.u.
Offset from the most stable computed form ... 128 meV per atom

The structure in CIF format:
```
data_CrNi2Ag
_chemical_formula_sum 'Cr2 Ni4 Ag2'
_cell_length_a 5.480
_cell_length_b 6.973
_cell_length_c 2.798
_cell_angle_alpha 90.00
_cell_angle_beta 90.00
_cell_angle_gamma 90.00
_space_group_name_H-M_alt 'C m m m'
_space_group_IT_number 65
_space_group_name_Hall '-C 2 2'
loop_
_atom_site_label
_atom_site_type_symbol
_atom_site_fract_x
_atom_site_fract_y
_atom_site_fract_z
Cr1 Cr 0.000 0.000 0.000
Ni1 Ni 0.250 0.250 0.500
Ag1 Ag 0.000 0.500 0.000
```


(20)
A plane-wave DFT calculation with GGA-PBE was carried out for a geometry-optimized CrNi2Ag structure.

Computed properties:
Total moment ... 0.00 μB/f.u.
Offset from the most stable computed form ... 43 meV per atom

The structure in CIF format:
```
data_CrNi2Ag
_chemical_formula_sum 'Cr3 Ni6 Ag3'
_cell_length_a 2.6222
_cell_length_b 2.6222
_cell_length_c 25.8846
_cell_angle_alpha 90.00
_cell_angle_beta 90.00
_cell_angle_gamma 120.00
_space_group_name_H-M_alt 'R -3 m'
_space_group_IT_number 166
_space_group_name_Hall '-R 3 2"'
loop_
_atom_site_label
_atom_site_type_symbol
_atom_site_fract_x
_atom_site_fract_y
_atom_site_fract_z
Cr1 Cr 0.0000 0.0000 0.0000
Ni1 Ni 0.0000 0.0000 0.2576
Ag1 Ag 0.0000 0.0000 0.5000
```